Entry 1:
The following is a meta-GGA SCAN calculation of Zr2TaOs at its PBEsol-relaxed geometry, from Alexandria.

- Size of the total moment: 0.0 μB per cell
- Energy of formation: -0.2721 eV per atom
- DFT total energy: -50.237 eV per atom

POSCAR file:
```
Zr2TaOs
1.0
-2.895 -1.316 -0.196
1.330 -2.874 -0.347
-0.076 -0.910 7.238
Os Ta Zr
1 1 2
direct
0.000 0.000 0.515
0.500 0.500 0.720
0.000 0.000 0.988
0.500 0.500 0.277
```

=====

Entry 2:
The following is a meta-GGA SCAN calculation of SnB2AsO at its PBEsol-relaxed geometry, from Alexandria.

- Raw formation energy: 2.195 eV/atom
- Size of the total moment: 0.0 μB per cell
- DFT total energy: -13.245 eV per atom

POSCAR file:
```
SnB2AsO
1.0
4.263 0.000 0.000
0.000 4.263 0.000
0.000 0.000 5.478
O B Sn As
1 2 1 1
direct
0.500 0.500 0.500
0.500 0.000 0.000
0.000 0.500 0.000
0.000 0.000 0.000
0.000 0.000 0.500
```

=====

Entry 3:
The following is a meta-GGA SCAN calculation of MnPt2W at its PBEsol-relaxed geometry, from Alexandria.

- Size of the total moment: 4.3 μB per cell
- Energy of formation: -0.5419 eV per atom
- DFT total energy: -57.624 eV per atom

POSCAR file:
```
MnPt2W
1.0
-1.471 -2.030 -1.131
-0.490 -1.038 2.499
-6.400 4.333 0.544
Pt W Mn
2 1 1
direct
0.000 0.000 0.253
0.000 0.000 0.747
0.500 0.500 0.000
0.500 0.500 0.500
```